16
Lattice="6.653 0.000 0.000 0.000 6.653 0.000 0.000 0.000 6.653" Properties=species:S:1:pos:R:3 comment="Hf2MoW PBE optimized geometry" energy_ev_per_atom=-10.832 sg=Fm-3m magmom_total_mub_per_atom=0.000 formation_enthalpy_0k_ev_per_atom=0.091 e_above_lowest_polymorph_ev_per_atom=0.002 pbc="T T T"
Hf 1.663 1.663 1.663
Hf 1.663 1.663 4.990
Hf 1.663 4.990 1.663
Hf 1.663 4.990 4.990
Hf 4.990 1.663 1.663
Hf 4.990 1.663 4.990
Hf 4.990 4.990 1.663
Hf 4.990 4.990 4.990
Mo 0.000 0.000 0.000
Mo 0.000 3.326 3.326
Mo 3.326 0.000 3.326
Mo 3.326 3.326 0.000
W 0.000 0.000 3.326
W 0.000 3.326 0.000
W 3.326 0.000 0.000
W 3.326 3.326 3.326

***

3
Lattice="4.548 0.000 0.000 -2.274 3.938 0.000 0.000 0.000 2.931" Properties=species:S:1:pos:R:3 comment="HfMoW PBE optimized geometry" energy_ev_per_atom=-11.240 sg=P3m1 magmom_total_mub_per_atom=0.000 formation_enthalpy_0k_ev_per_atom=0.006 e_above_lowest_polymorph_ev_per_atom=0.180 pbc="T T T"
Hf 0.000 0.000 0.000
Mo 0.000 2.626 1.929
W 2.274 1.313 1.104

***

12
Lattice="10.189 0.000 0.000 0.000 3.201 0.000 -2.044 0.000 6.102" Properties=species:S:1:pos:R:3 comment="HfMo4W PBE optimized geometry" energy_ev_per_atom=-11.126 sg=C2/m magmom_total_mub_per_atom=0.000 formation_enthalpy_0k_ev_per_atom=-0.087 e_above_lowest_polymorph_ev_per_atom=0.000 pbc="T T T"
Hf 0.000 0.000 0.000
Hf 5.094 1.600 0.000
Mo 0.042 1.600 5.058
Mo 1.047 1.600 2.085
Mo 2.004 0.000 4.017
Mo 3.009 0.000 1.044
Mo 5.137 0.000 5.058
Mo 6.141 0.000 2.085
Mo 7.099 1.600 4.017
Mo 8.103 1.600 1.044
W -1.022 0.000 3.051
W 4.073 1.600 3.051

***

12
Lattice="-2.262 3.194 6.775 2.262 -3.194 6.775 2.262 3.194 -6.775" Properties=species:S:1:pos:R:3 comment="HfMo5W6 PBE optimized geometry" energy_ev_per_atom=-11.836 sg=Immm magmom_total_mub_per_atom=0.000 formation_enthalpy_0k_ev_per_atom=-0.017 pbc="T T T"
Hf 0.000 0.000 0.000
Mo 2.262 0.000 2.269
Mo 0.000 0.000 4.518
Mo 0.000 3.194 0.000
Mo 0.000 0.000 9.033
Mo 0.000 3.194 4.506
W 2.262 -1.578 4.479
W 2.262 1.638 0.000
W 0.000 1.616 2.296
W 2.262 1.578 4.479
W 0.000 1.556 6.775
W 0.000 4.772 2.296

***

Question: Number 4 is which compound?
Answer: HfMo5W6